# 1
! LaZn2Ag6 | Alexandria | PBE | optimized geometry; values from VASP
&SYSTEM
  ibrav = 0, nat = 18, ntyp = 3
/
ATOMIC_SPECIES
La 138.91 La.upf
Zn 65.41 Zn.upf
Ag 107.87 Ag.upf
CELL_PARAMETERS angstrom
8.462 0.000 0.000
4.231 7.328 0.000
4.231 2.443 6.909
ATOMIC_POSITIONS crystal
La 0.500 0.500 0.500
La 0.750 0.750 0.750
Zn 0.125 0.125 0.125
Zn 0.125 0.625 0.125
Zn 0.125 0.125 0.625
Zn 0.625 0.125 0.125
Ag 0.246 0.246 0.754
Ag 0.754 0.754 0.246
Ag 0.246 0.754 0.246
Ag 0.246 0.754 0.754
Ag 0.496 0.496 0.004
Ag 0.496 0.004 0.004
Ag 0.754 0.246 0.754
Ag 0.004 0.004 0.496
Ag 0.496 0.004 0.496
Ag 0.004 0.496 0.496
Ag 0.754 0.246 0.246
Ag 0.004 0.496 0.004
! density of states at the Fermi level = 4.21 states/eV/f.u.
! E_form = 4.659 kcal/mol of atoms
! ΔE to the lowest computed polymorph = 334 meV/atom

=====

# 2
! LaZn2Ag2 | Alexandria | PBE | optimized geometry; values from VASP
&SYSTEM
  ibrav = 0, nat = 10, ntyp = 3
/
ATOMIC_SPECIES
Zn 65.41 Zn.upf
Ag 107.87 Ag.upf
La 138.91 La.upf
CELL_PARAMETERS angstrom
-2.318 -2.102 -7.500
7.647 0.876 -2.608
0.550 -2.892 0.641
ATOMIC_POSITIONS crystal
Zn 0.384 0.884 0.000
Zn 0.884 0.616 0.000
Zn 0.616 0.116 0.000
Zn 0.116 0.384 0.000
Ag 0.177 0.677 0.500
Ag 0.677 0.823 0.500
Ag 0.823 0.323 0.500
Ag 0.323 0.177 0.500
La 0.000 0.000 0.000
La 0.500 0.500 0.000
! density of states at the Fermi level = 3.59 states/eV/f.u.
! E_form = -2.004 kcal/mol of atoms
! ΔE to the lowest computed polymorph = 158 meV/atom

=====

# 3
! La2ZnAg3 | Alexandria | PBE | optimized geometry; values from VASP
&SYSTEM
  ibrav = 0, nat = 12, ntyp = 3
/
ATOMIC_SPECIES
La 138.91 La.upf
Zn 65.41 Zn.upf
Ag 107.87 Ag.upf
CELL_PARAMETERS angstrom
5.805 -0.291 -1.641
-1.766 5.537 -1.641
0.233 0.303 9.089
ATOMIC_POSITIONS crystal
La 0.250 0.750 0.500
La 0.754 0.754 0.000
La 0.750 0.250 0.500
La 0.246 0.246 0.000
Zn 0.667 0.667 0.334
Zn 0.333 0.333 0.666
Ag 0.342 0.828 0.170
Ag 0.172 0.658 0.830
Ag 0.658 0.172 0.830
Ag 0.828 0.342 0.170
Ag 0.170 0.170 0.341
Ag 0.830 0.830 0.659
! density of states at the Fermi level = 5.39 states/eV/f.u.
! E_form = -7.167 kcal/mol of atoms
! ΔE to the lowest computed polymorph = 7 meV/atom

=====

# 4
! LaZnAg4 | Alexandria | PBE | optimized geometry; values from VASP
&SYSTEM
  ibrav = 0, nat = 6, ntyp = 3
/
ATOMIC_SPECIES
Ag 107.87 Ag.upf
La 138.91 La.upf
Zn 65.41 Zn.upf
CELL_PARAMETERS angstrom
-2.225 2.306 -4.624
2.785 -0.240 -4.882
-1.886 -3.290 -4.155
ATOMIC_POSITIONS crystal
Ag 0.122 0.626 0.626
Ag 0.626 0.626 0.626
Ag 0.626 0.122 0.626
Ag 0.626 0.626 0.122
La 0.250 0.250 0.250
Zn 0.000 0.000 0.000
! density of states at the Fermi level = 3.01 states/eV/f.u.
! E_form = -3.516 kcal/mol of atoms

=====

# 5
! La2Zn15Ag2 | Alexandria | PBE | optimized geometry; values from VASP
&SYSTEM
  ibrav = 0, nat = 19, ntyp = 3
/
ATOMIC_SPECIES
La 138.91 La.upf
Zn 65.41 Zn.upf
Ag 107.87 Ag.upf
CELL_PARAMETERS angstrom
6.944 -0.018 -0.016
0.883 6.888 -0.016
0.883 0.775 6.844
ATOMIC_POSITIONS crystal
La 0.341 0.341 0.341
La 0.659 0.659 0.659
Zn 0.500 0.000 0.000
Zn 0.000 0.000 0.500
Zn 0.000 0.500 0.000
Zn 0.000 0.709 0.291
Zn 0.709 0.291 0.000
Zn 0.291 0.000 0.709
Zn 0.291 0.709 0.000
Zn 0.709 0.000 0.291
Zn 0.000 0.291 0.709
Zn 0.161 0.650 0.650
Zn 0.650 0.650 0.161
Zn 0.650 0.161 0.650
Zn 0.839 0.350 0.350
Zn 0.350 0.350 0.839
Zn 0.350 0.839 0.350
Ag 0.105 0.105 0.105
Ag 0.895 0.895 0.895
! density of states at the Fermi level = 6.87 states/eV/f.u.
! E_form = -5.856 kcal/mol of atoms

=====

# 6
! LaZn2Ag8 | Alexandria | PBE | optimized geometry; values from VASP
&SYSTEM
  ibrav = 0, nat = 11, ntyp = 3
/
ATOMIC_SPECIES
La 138.91 La.upf
Zn 65.41 Zn.upf
Ag 107.87 Ag.upf
CELL_PARAMETERS angstrom
5.544 0.000 0.000
0.000 5.544 0.000
0.000 0.000 8.727
ATOMIC_POSITIONS crystal
La 0.500 0.500 0.500
Zn 0.500 0.000 0.000
Zn 0.000 0.500 0.000
Ag 0.752 0.752 0.213
Ag 0.752 0.248 0.787
Ag 0.752 0.752 0.787
Ag 0.752 0.248 0.213
Ag 0.248 0.752 0.213
Ag 0.248 0.752 0.787
Ag 0.248 0.248 0.213
Ag 0.248 0.248 0.787
! density of states at the Fermi level = 4.99 states/eV/f.u.
! E_form = 5.294 kcal/mol of atoms

=====

# 7
! La6ZnAg3 | Alexandria | PBE | optimized geometry; values from VASP
&SYSTEM
  ibrav = 0, nat = 20, ntyp = 3
/
ATOMIC_SPECIES
La 138.91 La.upf
Zn 65.41 Zn.upf
Ag 107.87 Ag.upf
CELL_PARAMETERS angstrom
-3.902 -2.173 2.709
-4.446 -2.086 -8.076
7.099 -9.933 2.258
ATOMIC_POSITIONS crystal
La 0.250 0.525 0.104
La 0.750 0.475 0.896
La 0.250 0.121 0.154
La 0.750 0.879 0.846
La 0.250 0.656 0.712
La 0.750 0.344 0.288
La 0.250 0.287 0.489
La 0.750 0.713 0.511
La 0.250 0.883 0.362
La 0.750 0.117 0.638
La 0.250 0.126 0.887
La 0.750 0.874 0.113
Zn 0.250 0.938 0.634
Zn 0.750 0.062 0.366
Ag 0.250 0.544 0.363
Ag 0.750 0.456 0.637
Ag 0.250 0.342 0.745
Ag 0.750 0.658 0.255
Ag 0.250 0.776 0.970
Ag 0.750 0.224 0.030
! density of states at the Fermi level = 10.84 states/eV/f.u.
! E_form = -4.112 kcal/mol of atoms

=====

# 8
! LaZnAg2 | Alexandria | PBE | optimized geometry; values from VASP
&SYSTEM
  ibrav = 0, nat = 4, ntyp = 3
/
ATOMIC_SPECIES
Ag 107.87 Ag.upf
La 138.91 La.upf
Zn 65.41 Zn.upf
CELL_PARAMETERS angstrom
4.436 0.000 0.000
0.000 3.330 0.020
0.000 1.656 6.113
ATOMIC_POSITIONS crystal
Ag 0.000 0.807 0.008
Ag 0.500 0.221 0.183
La 0.000 0.555 0.521
Zn 0.500 0.918 0.787
! density of states at the Fermi level = 2.71 states/eV/f.u.
! E_form = -2.868 kcal/mol of atoms